Entry 1:
Below is a relaxed structure of Gd3Mg3GaIr2, with properties calculated at the PBE level.

Cell lengths 7.3499, 7.3499, 4.1486 Å; angles 90.00, 90.00, 120.00 degrees
With the nearest neighbours (Å) after each atom.
Element x y z (fractional)
Gd  0.0000  0.4182  0.0000  4 Ir 3.03, 1 Ga 3.07, 6 Mg 3.20-3.39
Gd  0.4182  0.0000  0.0000  4 Ir 3.03, 1 Ga 3.07, 6 Mg 3.20-3.39
Gd  0.5818  0.5818  0.0000  4 Ir 3.03, 1 Ga 3.07, 6 Mg 3.20-3.39
Mg  0.0000  0.7500  0.5000  2 Ga 2.77, 2 Ir 2.81
Mg  0.2500  0.2500  0.5000  2 Ga 2.77, 2 Ir 2.81
Mg  0.7500  0.0000  0.5000  2 Ga 2.77, 2 Ir 2.81
Ga  0.0000  0.0000  0.0000  6 Mg 2.77, 3 Gd 3.07
Ir  0.3333  0.6667  0.5000  3 Mg 2.81, 6 Gd 3.03
Ir  0.6667  0.3333  0.5000  3 Mg 2.81, 6 Gd 3.03

Results
E = -4.9383 eV/atom
ρ = 8.55 g cm⁻³

Entry 2:
Below is a relaxed structure of CdNiGePt, with properties calculated at the PBE level.

Cell lengths 4.4652, 4.4652, 4.4652 Å; angles 60.00, 60.00, 60.00 degrees
With the nearest neighbours (Å) after each atom.
Element x y z (fractional)
Cd  0.0000  0.0000  0.0000  4 Ni 2.73, 4 Pt 2.73
Ni  0.7500  0.7500  0.7500  4 Ge 2.73, 4 Cd 2.73
Ge  0.5000  0.5000  0.5000  4 Ni 2.73, 4 Pt 2.73
Pt  0.2500  0.2500  0.2500  4 Cd 2.73, 4 Ge 2.73

Results
E = -4.3786 eV/atom
ρ = 11.58 g cm⁻³

Entry 3:
Below is a relaxed structure of HfTlCuTeS2, with properties calculated at the PBE level.

Cell lengths 7.9076, 7.9076, 10.3538 Å; angles 90.00, 90.00, 152.34 degrees
With the nearest neighbours (Å) after each atom.
Element x y z (fractional)
Hf  0.0000  0.0000  0.0000  4 S 2.58
Hf  0.0000  0.0000  0.5000  4 S 2.58
Tl  0.2199  0.7801  0.7500  4 S 3.23, 2 Cu 3.46, 2 Te 3.50
Tl  0.7801  0.2199  0.2500  4 S 3.23, 2 Cu 3.46, 2 Te 3.50
Cu  0.4689  0.5311  0.2500  2 S 2.29
Cu  0.5311  0.4689  0.7500  2 S 2.29
Te  0.0881  0.9119  0.2500  2 Cu 2.63, 2 Hf 2.92
Te  0.9119  0.0881  0.7500  2 Cu 2.63, 2 Hf 2.92
S  0.3930  0.6070  0.0598  1 Cu 2.29
S  0.3930  0.6070  0.4402  1 Cu 2.29
S  0.6070  0.3930  0.5598  1 Cu 2.29
S  0.6070  0.3930  0.9402  1 Cu 2.29

Results
E = -5.3903 eV/atom
ρ = 7.05 g cm⁻³

Entry 4:
Below is a relaxed structure of HoNpCd, with properties calculated at the PBE level.

Cell lengths 4.9921, 4.9921, 4.9921 Å; angles 60.00, 60.00, 60.00 degrees
With the nearest neighbours (Å) after each atom.
Element x y z (fractional)
Ho  0.0000  0.0000  0.0000  4 Np 3.06, 4 Cd 3.06
Np  0.7500  0.7500  0.7500  4 Ho 3.06
Cd  0.2500  0.2500  0.2500  4 Ho 3.06

Results
E = -5.1999 eV/atom
ρ = 9.71 g cm⁻³

Entry 5:
Below is a relaxed structure of YMgU, with properties calculated at the PBE level.

Cell lengths 5.1542, 5.1542, 5.1542 Å; angles 60.00, 60.00, 60.00 degrees
With the nearest neighbours (Å) after each atom.
Element x y z (fractional)
Y  0.0000  0.0000  0.0000  4 Mg 3.16
Mg  0.7500  0.7500  0.7500  4 Y 3.16, 4 U 3.16
U  0.5000  0.5000  0.5000  4 Mg 3.16

Results
E = -5.3392 eV/atom
ρ = 6.02 g cm⁻³

Entry 6:
Below is a relaxed structure of DyNbTeC, with properties calculated at the PBE level.

Cell lengths 3.5474, 3.5474, 13.6834 Å; angles 90.00, 90.00, 120.00 degrees
With the nearest neighbours (Å) after each atom.
Element x y z (fractional)
Dy  0.0000  0.0000  0.1718  3 C 2.47
Dy  0.0000  0.0000  0.8282  3 C 2.47
Nb  0.3333  0.6667  0.3483  3 C 2.29
Nb  0.3333  0.6667  0.6517  3 C 2.29
Te  0.0000  0.0000  0.5000  6 Nb 2.92
Te  0.3333  0.6667  0.0000  6 Dy 3.12
C  0.6667  0.3333  0.2733  3 Nb 2.29, 3 Dy 2.47
C  0.6667  0.3333  0.7267  3 Nb 2.29, 3 Dy 2.47

Results
E = -7.3449 eV/atom
ρ = 8.80 g cm⁻³

Entry 7:
Below is a relaxed structure of TaZnNiPt, with properties calculated at the PBE level.

Cell lengths 4.3640, 4.3640, 4.3640 Å; angles 60.00, 60.00, 60.00 degrees
With the nearest neighbours (Å) after each atom.
Element x y z (fractional)
Ta  0.0000  0.0000  0.0000  4 Pt 2.67, 4 Zn 2.67
Zn  0.2500  0.2500  0.2500  4 Ta 2.67, 4 Ni 2.67
Ni  0.5000  0.5000  0.5000  4 Pt 2.67, 4 Zn 2.67
Pt  0.7500  0.7500  0.7500  4 Ta 2.67, 4 Ni 2.67

Results
E = -6.4153 eV/atom
ρ = 14.13 g cm⁻³

Entry 8:
Below is a relaxed structure of Hg2Pt2Au, with properties calculated at the PBE level.

Cell lengths 6.8241, 6.8241, 6.8241 Å; angles 145.80, 145.80, 49.14 degrees
With the nearest neighbours (Å) after each atom.
Element x y z (fractional)
Hg  0.1041  0.1041  0.0000  1 Hg 2.58, 4 Pt 2.70
Hg  0.8959  0.8959  0.0000  1 Hg 2.58, 4 Pt 2.70
Pt  0.2500  0.7500  0.5000  4 Hg 2.70, 4 Pt 2.84
Pt  0.7500  0.2500  0.5000  4 Hg 2.70, 4 Pt 2.84
Au  0.5000  0.5000  0.0000  8 Hg 3.12

Results
E = -2.8445 eV/atom
ρ = 16.42 g cm⁻³